{"formula": "Tl2Ni2MoO6", "functional": "PBE with a Hubbard U", "state": "relaxed", "cell": [[2.681, -4.604, 0.000], [2.681, 4.604, 0.000], [-2.023, 0.000, 6.517]], "species": ["Tl", "Tl", "Ni", "Ni", "Mo", "O", "O", "O", "O", "O", "O"], "fractional_positions": [[0.171, 0.829, 0.000], [0.829, 0.171, 0.000], [0.334, 0.666, 0.500], [0.666, 0.334, 0.500], [0.000, 0.000, 0.500], [0.058, 0.370, 0.662], [0.249, 0.249, 0.337], [0.370, 0.058, 0.662], [0.630, 0.942, 0.338], [0.751, 0.751, 0.663], [0.942, 0.630, 0.338]], "total_magnetization_mub_per_atom": 0.364, "spacegroup": "C2/m", "total_energy_ev_per_cell": -58.63}